Record 1
Below is KCdPt at its PBEsol-relaxed geometry, with properties calculated at the SCAN level.

The calculation puts the distance to the lowest polymorph of the same formula at 285 meV per atom. Its total energy is -434.63 eV for the cell shown. For the calculated density, the calculation gives 7.359 Mg/m³. The formation energy from the elements is 0.093 eV/atom.

The space group is F-43m (No. 216) and the conventional cell measures 6.7886, 6.7886 and 6.7886 Å, with angles of 90.00, 90.00 and 90.00 degrees. Symmetry generates all atoms from K at (0.0000, 0.0000, 0.0000), Cd at (0.0000, 0.0000, 0.5000) and Pt at (0.2500, 0.2500, 0.7500).

Record 2
Below is KCd2Pt2 at its PBEsol-relaxed geometry, with properties calculated at the SCAN level.

The calculation puts the distance to the lowest polymorph of the same formula at 39 meV per atom. Its total energy is -421.82 eV for the cell shown. For the calculated density, the calculation gives 9.603 Mg/m³. The formation energy from the elements is -0.274 eV/atom.

The space group is I4/mmm (No. 139) and the conventional cell measures 4.4908, 4.4908 and 11.2168 Å, with angles of 90.00, 90.00 and 90.00 degrees. Symmetry generates all atoms from K at (0.0000, 0.0000, 0.0000), Cd at (0.0000, 0.5000, 0.2500) and Pt at (0.0000, 0.0000, 0.3884).

Record 3
Below is KCdPt at its PBEsol-relaxed geometry, with properties calculated at the SCAN level.

The calculation puts the distance to the lowest polymorph of the same formula at 0 meV per atom. Its total energy is -219.02 eV for the cell shown. For the calculated density, the calculation gives 7.729 Mg/m³. The formation energy from the elements is -0.192 eV/atom.

The space group is Imm2 (No. 44) and the conventional cell measures 2.9963, 4.3410 and 11.4501 Å, with angles of 90.00, 90.00 and 90.00 degrees. Symmetry generates all atoms from K at (0.0000, 0.0000, 0.0000), Cd at (0.0000, 0.0000, 0.2739) and Pt at (0.0000, 0.0000, 0.7216).

Record 4
Below is K3CdPt at its PBEsol-relaxed geometry, with properties calculated at the SCAN level.

The calculation puts the distance to the lowest polymorph of the same formula at 0 meV per atom. Its total energy is -125.09 eV for the cell shown. For the calculated density, the calculation gives 3.200 Mg/m³. The formation energy from the elements is 0.100 eV/atom.

The space group is Pm-3m (No. 221) and the conventional cell measures 6.0408, 6.0408 and 6.0408 Å, with angles of 90.00, 90.00 and 90.00 degrees. Symmetry generates all atoms from K at (0.0000, 0.0000, 0.5000), Cd at (0.5000, 0.5000, 0.5000) and Pt at (0.0000, 0.0000, 0.0000).

Record 5
Below is KCd2Pt2 at its PBEsol-relaxed geometry, with properties calculated at the SCAN level.

The calculation puts the distance to the lowest polymorph of the same formula at 0 meV per atom. Its total energy is -422.22 eV for the cell shown. For the calculated density, the calculation gives 11.075 Mg/m³. The formation energy from the elements is -0.313 eV/atom.

The space group is P4/mbm (No. 127) and the conventional cell measures 8.2018, 8.2018 and 2.9159 Å, with angles of 90.00, 90.00 and 90.00 degrees. Symmetry generates all atoms from K at (0.0000, 0.0000, 0.0000), Cd at (0.1659, 0.3341, 0.5000) and Pt at (0.1280, 0.6280, 0.0000).

Record 6
Below is KCdSi2Pt at its PBEsol-relaxed geometry, with properties calculated at the SCAN level.

Its total energy is -117.09 eV for the cell shown. The calculation puts the raw formation energy at 2375.1 meV per atom. For the calculated density, the calculation gives 5.192 Mg/m³.

The space group is P4/mmm (No. 123) and the conventional cell measures 4.9920, 4.9920 and 5.1694 Å, with angles of 90.00, 90.00 and 90.00 degrees. Symmetry generates all atoms from K at (0.0000, 0.0000, 0.0000), Cd at (0.0000, 0.0000, 0.5000), Si at (0.0000, 0.5000, 0.0000) and Pt at (0.5000, 0.5000, 0.5000).

Record 7
Below is K2TlCdPt at its PBEsol-relaxed geometry, with properties calculated at the SCAN level.

Its total energy is -186.27 eV for the cell shown. For the calculated density, the calculation gives 5.019 Mg/m³. The formation energy from the elements is 0.671 eV/atom.

The space group is P4/mmm (No. 123) and the conventional cell measures 6.1008, 6.1008 and 5.2451 Å, with angles of 90.00, 90.00 and 90.00 degrees. Symmetry generates all atoms from K at (0.0000, 0.5000, 0.0000), Tl at (0.0000, 0.0000, 0.0000), Cd at (0.0000, 0.0000, 0.5000) and Pt at (0.5000, 0.5000, 0.5000).

Record 8
Below is KRb2Cd2 at its PBEsol-relaxed geometry, with properties calculated at the SCAN level.

Its total energy is -221.55 eV for the cell shown. For the calculated density, the calculation gives 3.096 Mg/m³. The formation energy from the elements is -0.028 eV/atom.

The space group is P4/mbm (No. 127) and the conventional cell measures 9.2547, 9.2547 and 5.4454 Å, with angles of 90.00, 90.00 and 90.00 degrees. Symmetry generates all atoms from K at (0.0000, 0.0000, 0.0000), Rb at (0.1742, 0.3258, 0.5000) and Cd at (0.1106, 0.6106, 0.0000).

- The lowest calculated density belongs to which entry?
  KRb2Cd2

- What is the formula in the seventh record?
  K2TlCdPt

What did the first record say?
Below is KCdPt at its PBEsol-relaxed geometry, with properties calculated at the SCAN level.

The calculation puts the distance to the lowest polymorph of the same formula at 285 meV per atom. Its total energy is -434.63 eV for the cell shown. For the calculated density, the calculation gives 7.359 Mg/m³. The formation energy from the elements is 0.093 eV/atom.

The space group is F-43m (No. 216) and the conventional cell measures 6.7886, 6.7886 and 6.7886 Å, with angles of 90.00, 90.00 and 90.00 degrees. Symmetry generates all atoms from K at (0.0000, 0.0000, 0.0000), Cd at (0.0000, 0.0000, 0.5000) and Pt at (0.2500, 0.2500, 0.7500).